1.
DFT (PBE with a Hubbard U) results for a geometry-optimized In2WF structure.

VASP energy = -3.527 eV/atom

abc: 6.9513 6.9513 6.9513
angles: 90.00 90.00 90.00
Atoms (fractional coordinates):
In1 0.2500 0.2500 0.2500
In2 0.2500 0.2500 0.7500
In3 0.2500 0.7500 0.2500
In4 0.2500 0.7500 0.7500
In5 0.7500 0.2500 0.2500
In6 0.7500 0.2500 0.7500
In7 0.7500 0.7500 0.2500
In8 0.7500 0.7500 0.7500
W1 0.0000 0.0000 0.0000
W2 0.0000 0.5000 0.5000
W3 0.5000 0.0000 0.5000
W4 0.5000 0.5000 0.0000
F1 0.0000 0.0000 0.5000
F2 0.0000 0.5000 0.0000
F3 0.5000 0.0000 0.0000
F4 0.5000 0.5000 0.5000

2.
DFT (PBE with a Hubbard U) results for a geometry-optimized InWF2 structure.

VASP energy = -3.613 eV/atom

abc: 6.3298 6.3298 6.3298
angles: 90.00 90.00 90.00
Atoms (fractional coordinates):
In1 0.0000 0.0000 0.0000
In2 0.0000 0.5000 0.5000
In3 0.5000 0.0000 0.5000
In4 0.5000 0.5000 0.0000
W1 0.0000 0.0000 0.5000
W2 0.0000 0.5000 0.0000
W3 0.5000 0.0000 0.0000
W4 0.5000 0.5000 0.5000
F1 0.2500 0.2500 0.2500
F2 0.2500 0.2500 0.7500
F3 0.2500 0.7500 0.2500
F4 0.2500 0.7500 0.7500
F5 0.7500 0.2500 0.2500
F6 0.7500 0.2500 0.7500
F7 0.7500 0.7500 0.2500
F8 0.7500 0.7500 0.7500

3.
DFT (PBE with a Hubbard U) results for a geometry-optimized In2WF structure.

VASP energy = -3.581 eV/atom

abc: 7.2684 7.2684 6.5723
angles: 90.00 90.00 90.00
Atoms (fractional coordinates):
In1 0.1953 0.2500 0.1250
In2 0.2500 0.6953 0.3750
In3 0.2500 0.8047 0.8750
In4 0.3047 0.2500 0.6250
In5 0.6953 0.7500 0.6250
In6 0.7500 0.1953 0.8750
In7 0.7500 0.3047 0.3750
In8 0.8047 0.7500 0.1250
W1 0.0000 0.0000 0.5000
W2 0.0000 0.5000 0.7500
W3 0.5000 0.0000 0.2500
W4 0.5000 0.5000 0.0000
F1 0.0000 0.0000 0.0000
F2 0.0000 0.5000 0.2500
F3 0.5000 0.0000 0.7500
F4 0.5000 0.5000 0.5000

4.
DFT (PBE with a Hubbard U) results for a geometry-optimized InWF2 structure.

VASP energy = -4.438 eV/atom

abc: 3.0029 3.0029 26.0775
angles: 90.00 90.00 120.00
Atoms (fractional coordinates):
In1 0.0000 0.0000 0.0000
In2 0.3333 0.6667 0.6667
In3 0.6667 0.3333 0.3333
W1 0.0000 0.0000 0.5000
W2 0.3333 0.6667 0.1667
W3 0.6667 0.3333 0.8333
F1 0.0000 0.0000 0.4241
F2 0.0000 0.0000 0.5759
F3 0.3333 0.6667 0.0908
F4 0.3333 0.6667 0.2425
F5 0.6667 0.3333 0.7575
F6 0.6667 0.3333 0.9092

5.
DFT (PBE with a Hubbard U) results for a geometry-optimized InWF3 structure.

VASP energy = -4.760 eV/atom

abc: 4.4375 4.4375 4.4375
angles: 90.00 90.00 90.00
Atoms (fractional coordinates):
In1 0.0000 0.0000 0.0000
W1 0.5000 0.5000 0.5000
F1 0.0000 0.5000 0.5000
F2 0.5000 0.0000 0.5000
F3 0.5000 0.5000 0.0000

6.
DFT (PBE with a Hubbard U) results for a geometry-optimized InWF3 structure.

VASP energy = -4.074 eV/atom

abc: 4.4312 4.4312 4.4312
angles: 90.00 90.00 90.00
Atoms (fractional coordinates):
In1 0.0000 0.0000 0.0000
W1 0.5000 0.5000 0.5000
F1 0.0000 0.0000 0.5000
F2 0.0000 0.5000 0.0000
F3 0.5000 0.0000 0.0000

7.
DFT (PBE with a Hubbard U) results for a geometry-optimized InWF2 structure.

VASP energy = -4.221 eV/atom

abc: 4.6674 4.6674 14.7200
angles: 90.00 90.00 90.00
Atoms (fractional coordinates):
In1 0.0000 0.0000 0.0000
In2 0.0000 0.5000 0.2500
In3 0.5000 0.0000 0.7500
In4 0.5000 0.5000 0.5000
W1 0.0000 0.0000 0.5000
W2 0.0000 0.5000 0.7500
W3 0.5000 0.0000 0.2500
W4 0.5000 0.5000 0.0000
F1 0.0865 0.2500 0.6250
F2 0.2500 0.5865 0.8750
F3 0.2500 0.9135 0.3750
F4 0.4135 0.2500 0.1250
F5 0.5865 0.7500 0.1250
F6 0.7500 0.0865 0.3750
F7 0.7500 0.4135 0.8750
F8 0.9135 0.7500 0.6250

8.
DFT (PBE with a Hubbard U) results for a geometry-optimized ZrInW2F structure.

VASP energy = -4.761 eV/atom

abc: 5.6204 5.6204 4.1124
angles: 90.00 90.00 90.00
Atoms (fractional coordinates):
Zr1 0.0000 0.0000 0.0000
In1 0.5000 0.5000 0.5000
W1 0.0000 0.5000 0.0000
W2 0.5000 0.0000 0.0000
F1 0.0000 0.0000 0.5000

Number 1: density of states at the Fermi level 10.39 states/eV/cell. Number 2: density of states at the Fermi level 7.65 states/eV/cell. Number 3: density of states at the Fermi level 7.89 states/eV/cell. Number 4: density of states at the Fermi level 2.77 states/eV/cell. Number 5: density of states at the Fermi level 1.56 states/eV/cell. Number 6: density of states at the Fermi level 1.29 states/eV/cell. Number 7: density of states at the Fermi level 5.05 states/eV/cell. Number 8: density of states at the Fermi level 4.06 states/eV/cell.